# RhPbW2 | the Alexandria database | GGA-PBEsol | optimized geometry
# Crystal system = cubic
# ρ = 16.83 Mg/m³
# M_tot = 0.00 μB/atom
# Energy of formation from the pure elements = 0.668 eV/atom
data_RhPbW2
_chemical_formula_sum 'Rh4 Pb4 W8'
_symmetry_space_group_name_H-M 'F -4 3 m'
_symmetry_Int_Tables_number 216
_symmetry_space_group_name_Hall 'F -4 2 3'
_cell_length_a 6.4428
_cell_length_b 6.4428
_cell_length_c 6.4428
_cell_angle_alpha 90.00
_cell_angle_beta 90.00
_cell_angle_gamma 90.00
loop_
_atom_site_label
_atom_site_type_symbol
_atom_site_fract_x
_atom_site_fract_y
_atom_site_fract_z
_atom_site_occupancy
Rh1 Rh 0.0000 0.0000 0.0000 1
Pb1 Pb 0.2500 0.2500 0.7500 1
W1 W 0.0000 0.0000 0.5000 1
W2 W 0.2500 0.2500 0.2500 1